# MgScBrF GGA-PBE optimized geometry
data_MgScBrF
_chemical_formula_sum 'Mg1 Sc1 Br1 F1'
_space_group_name_H-M_alt 'P 1'
_space_group_IT_number 1
_cell_length_a 3.419
_cell_length_b 3.573
_cell_length_c 8.241
_cell_angle_alpha 90.46
_cell_angle_beta 101.91
_cell_angle_gamma 90.00
loop_
_space_group_symop_operation_xyz
'x,y,z'
loop_
_atom_site_label
_atom_site_type_symbol
_atom_site_fract_x
_atom_site_fract_y
_atom_site_fract_z
Mg1 Mg 0.000 0.000 0.000
Sc1 Sc 0.658 0.504 0.316
Br1 Br 0.252 0.008 0.506
F1 F 0.587 0.002 0.174
# * excess energy over the best structure of this formula in the dataset: 0.129 eV/atom
# * formation energy without anion corrections: -1.5167 eV per atom


# MgScBrF GGA-PBE optimized geometry
data_MgScBrF
_chemical_formula_sum 'Mg3 Sc3 Br3 F3'
_space_group_name_H-M_alt 'R 3 m'
_space_group_IT_number 160
_space_group_name_Hall 'R 3 -2"'
_cell_length_a 3.5819
_cell_length_b 3.5819
_cell_length_c 22.5153
_cell_angle_alpha 90.00
_cell_angle_beta 90.00
_cell_angle_gamma 120.00
loop_
_atom_site_label
_atom_site_type_symbol
_atom_site_fract_x
_atom_site_fract_y
_atom_site_fract_z
Mg1 Mg 0.0000 0.0000 0.0000
Sc1 Sc 0.0000 0.0000 0.7783
Br1 Br 0.0000 0.0000 0.2542
F1 F 0.0000 0.0000 0.4737
# * excess energy over the best structure of this formula in the dataset: 0.019 eV/atom
# * formation energy without anion corrections: -1.6261 eV per atom


# MgScBrF GGA-PBE optimized geometry
data_MgScBrF
_chemical_formula_sum 'Mg1 Sc1 Br1 F1'
_space_group_name_H-M_alt 'P 3 m 1'
_space_group_IT_number 156
_cell_length_a 3.5753
_cell_length_b 3.5753
_cell_length_c 7.4568
_cell_angle_alpha 90.00
_cell_angle_beta 90.00
_cell_angle_gamma 120.00
loop_
_space_group_symop_operation_xyz
'x,y,z'
'-y,x-y,z'
'-x+y,-x,z'
'-y,-x,z'
'-x+y,y,z'
'x,x-y,z'
loop_
_atom_site_label
_atom_site_type_symbol
_atom_site_fract_x
_atom_site_fract_y
_atom_site_fract_z
Mg1 Mg 0.0000 0.0000 0.0000
Sc1 Sc 0.6667 0.3333 0.3333
Br1 Br 0.6667 0.3333 0.7601
F1 F 0.3333 0.6667 0.4277
# * excess energy over the best structure of this formula in the dataset: 0.001 eV/atom
# * formation energy without anion corrections: -1.6445 eV per atom


# MgScBrF GGA-PBE optimized geometry
data_MgScBrF
_chemical_formula_sum 'Mg1 Sc1 Br1 F1'
_space_group_name_H-M_alt 'P 1'
_space_group_IT_number 1
_cell_length_a 3.405
_cell_length_b 3.406
_cell_length_c 8.607
_cell_angle_alpha 90.12
_cell_angle_beta 90.24
_cell_angle_gamma 120.00
loop_
_space_group_symop_operation_xyz
'x,y,z'
loop_
_atom_site_label
_atom_site_type_symbol
_atom_site_fract_x
_atom_site_fract_y
_atom_site_fract_z
Mg1 Mg 0.000 0.000 0.000
Sc1 Sc 0.323 0.658 0.600
Br1 Br 0.986 0.988 0.385
F1 F 0.992 0.993 0.740
# * excess energy over the best structure of this formula in the dataset: 0.060 eV/atom
# * formation energy without anion corrections: -1.5852 eV per atom


# MgScBrF GGA-PBE optimized geometry
data_MgScBrF
_chemical_formula_sum 'Mg2 Sc2 Br2 F2'
_space_group_name_H-M_alt 'C 1 m 1'
_space_group_IT_number 8
_cell_length_a 6.083
_cell_length_b 3.516
_cell_length_c 8.285
_cell_angle_alpha 90.00
_cell_angle_beta 103.92
_cell_angle_gamma 90.00
loop_
_space_group_symop_operation_xyz
'x,y,z'
'x,-y,z'
'x+1/2,y+1/2,z'
'x+1/2,-y+1/2,z'
loop_
_atom_site_label
_atom_site_type_symbol
_atom_site_fract_x
_atom_site_fract_y
_atom_site_fract_z
Mg1 Mg 0.000 0.000 0.000
Sc1 Sc 0.065 0.500 0.691
Br1 Br 0.236 0.500 0.214
F1 F 0.195 0.000 0.581
# * excess energy over the best structure of this formula in the dataset: 0.014 eV/atom
# * formation energy without anion corrections: -1.6310 eV per atom


# MgScBrF GGA-PBE optimized geometry
data_MgScBrF
_chemical_formula_sum 'Mg3 Sc3 Br3 F3'
_space_group_name_H-M_alt 'R 3 m'
_space_group_IT_number 160
_space_group_name_Hall 'R 3 -2"'
_cell_length_a 3.5992
_cell_length_b 3.5992
_cell_length_c 22.2260
_cell_angle_alpha 90.00
_cell_angle_beta 90.00
_cell_angle_gamma 120.00
loop_
_atom_site_label
_atom_site_type_symbol
_atom_site_fract_x
_atom_site_fract_y
_atom_site_fract_z
Mg1 Mg 0.0000 0.0000 0.0000
Sc1 Sc 0.0000 0.0000 0.4459
Br1 Br 0.0000 0.0000 0.5852
F1 F 0.0000 0.0000 0.8074
# * excess energy over the best structure of this formula in the dataset: 0.000 eV/atom
# * formation energy without anion corrections: -1.6453 eV per atom


no.,calculated volume (Å³/atom)
1,24.63
2,20.84
3,20.64
4,21.61
5,21.50
6,20.78